A relaxed structure of CoSnP2O. Source: Alexandria via LeMat-Bulk, functional GGA+U.

Calculated values
density of states at the Fermi level	0.782	states/eV/atom
total DFT energy (no corrections)	-4.21	eV per atom

Unit cell a=5.149 b=5.149 c=3.877 alpha=90.00 beta=90.00 gamma=90.00
Space group P4/mmm (No. 123)
Unique sites:
1 Co 0.000 0.000 0.000 [1 per cell]
2 Sn 0.500 0.500 0.500 [1 per cell]
3 P 0.000 0.500 0.500 [2 per cell]
4 O 0.500 0.500 0.000 [1 per cell]

=====

A relaxed structure of CoSnPO2. Source: Alexandria via LeMat-Bulk, functional GGA+U.

Calculated values
density of states at the Fermi level	0.710	states/eV/atom
total DFT energy (no corrections)	-5.08	eV per atom

Unit cell a=3.807 b=3.807 c=4.666 alpha=90.00 beta=90.00 gamma=90.00
Space group P4/mmm (No. 123)
Unique sites:
1 Co 0.000 0.000 0.000 [1 per cell]
2 Sn 0.500 0.500 0.500 [1 per cell]
3 P 0.000 0.000 0.500 [1 per cell]
4 O 0.000 0.500 0.000 [2 per cell]

=====

A relaxed structure of CoSnPO2. Source: Alexandria via LeMat-Bulk, functional GGA+U.

Calculated values
density of states at the Fermi level	0.832	states/eV/atom
total DFT energy (no corrections)	-4.91	eV per atom

Unit cell a=3.900 b=3.900 c=5.628 alpha=90.00 beta=90.00 gamma=90.00
Space group P4/mmm (No. 123)
Unique sites:
1 Co 0.000 0.000 0.000 [1 per cell]
2 Sn 0.500 0.500 0.500 [1 per cell]
3 P 0.500 0.500 0.000 [1 per cell]
4 O 0.000 0.500 0.500 [2 per cell]

=====

A relaxed structure of CoSnP2O. Source: Alexandria via LeMat-Bulk, functional GGA+U.

Calculated values
density of states at the Fermi level	0.811	states/eV/atom
total DFT energy (no corrections)	-4.82	eV per atom

Unit cell a=4.751 b=4.751 c=3.501 alpha=90.00 beta=90.00 gamma=90.00
Space group P4/mmm (No. 123)
Unique sites:
1 Co 0.000 0.000 0.000 [1 per cell]
2 Sn 0.500 0.500 0.500 [1 per cell]
3 P 0.000 0.500 0.000 [2 per cell]
4 O 0.000 0.000 0.500 [1 per cell]

=====

A relaxed structure of V3CoSn2P6O24. Source: Alexandria via LeMat-Bulk, functional GGA+U.

Calculated values
total DFT energy (no corrections)	-7.20	eV per atom

Unit cell a=8.5189 b=8.5189 c=22.9485 alpha=90.00 beta=90.00 gamma=120.00
Space group R3 (No. 146, hexagonal axes)
Unique sites:
1 V 0.0000 0.0000 0.0000 [3 per cell]
2 V 0.0000 0.0000 0.2056 [3 per cell]
3 V 0.0000 0.0000 0.5072 [3 per cell]
4 Co 0.0000 0.0000 0.6955 [3 per cell]
5 Sn 0.0000 0.0000 0.3650 [3 per cell]
6 Sn 0.0000 0.0000 0.8331 [3 per cell]
7 P 0.0052 0.7199 0.1032 [9 per cell]
8 P 0.0437 0.3739 0.2708 [9 per cell]
9 O 0.0031 0.8133 0.1599 [9 per cell]
10 O 0.0297 0.2052 0.5470 [9 per cell]
11 O 0.0470 0.8368 0.0480 [9 per cell]
12 O 0.0535 0.8454 0.7642 [9 per cell]
13 O 0.1583 0.4765 0.9227 [9 per cell]
14 O 0.1637 0.6771 0.1094 [9 per cell]
15 O 0.1750 0.4325 0.3214 [9 per cell]
16 O 0.1806 0.4633 0.6160 [9 per cell]

=====

A relaxed structure of SrCoP2O. Source: Alexandria via LeMat-Bulk, functional GGA+U.

Calculated values
density of states at the Fermi level	2.061	states/eV/atom
total DFT energy (no corrections)	-3.19	eV per atom

Unit cell a=5.595 b=5.595 c=4.328 alpha=90.00 beta=90.00 gamma=90.00
Space group P4/mmm (No. 123)
Unique sites:
1 Sr 0.000 0.000 0.000 [1 per cell]
2 Co 0.500 0.500 0.500 [1 per cell]
3 P 0.000 0.500 0.000 [2 per cell]
4 O 0.000 0.000 0.500 [1 per cell]

=====

A relaxed structure of SrCoP2O. Source: Alexandria via LeMat-Bulk, functional GGA+U.

Calculated values
density of states at the Fermi level	0.381	states/eV/atom
total DFT energy (no corrections)	-4.76	eV per atom

Unit cell a=4.076 b=4.076 c=5.616 alpha=90.00 beta=90.00 gamma=90.00
Space group P4/mmm (No. 123)
Unique sites:
1 Sr 0.000 0.000 0.000 [1 per cell]
2 Co 0.500 0.500 0.500 [1 per cell]
3 P 0.000 0.500 0.500 [2 per cell]
4 O 0.500 0.500 0.000 [1 per cell]

=====

A relaxed structure of SrZnCoP2O8. Source: Alexandria via LeMat-Bulk, functional GGA+U.

Calculated values
density of states at the Fermi level	0.056	states/eV/atom
total DFT energy (no corrections)	-6.27	eV per atom

Unit cell a=5.857 b=6.906 c=10.472 alpha=97.40 beta=104.35 gamma=100.08
Space group P-1 (No. 2)
Unique sites:
1 Sr 0.207 0.303 0.033 [2 per cell]
2 Zn 0.274 0.376 0.497 [2 per cell]
3 Co 0.312 0.846 0.622 [2 per cell]
4 P 0.150 0.561 0.747 [2 per cell]
5 P 0.420 0.900 0.189 [2 per cell]
6 O 0.011 0.709 0.667 [2 per cell]
7 O 0.043 0.512 0.862 [2 per cell]
8 O 0.118 0.017 0.505 [2 per cell]
9 O 0.137 0.372 0.650 [2 per cell]
10 O 0.187 0.949 0.112 [2 per cell]
11 O 0.411 0.694 0.798 [2 per cell]
12 O 0.415 0.680 0.509 [2 per cell]
13 O 0.497 0.266 0.885 [2 per cell]

=====

A relaxed structure of SrZnCoP2O8. Source: Alexandria via LeMat-Bulk, functional GGA+U.

Calculated values
density of states at the Fermi level	0.000	states/eV/atom
total DFT energy (no corrections)	-6.71	eV per atom

Unit cell a=5.505 b=6.971 c=9.402 alpha=110.59 beta=102.13 gamma=97.93
Space group P-1 (No. 2)
Unique sites:
1 Sr 0.248 0.299 0.051 [2 per cell]
2 Zn 0.009 0.120 0.356 [2 per cell]
3 Co 0.369 0.652 0.442 [2 per cell]
4 P 0.156 0.478 0.699 [2 per cell]
5 P 0.396 0.923 0.233 [2 per cell]
6 O 0.000 0.250 0.581 [2 per cell]
7 O 0.049 0.384 0.304 [2 per cell]
8 O 0.194 0.943 0.101 [2 per cell]
9 O 0.261 0.498 0.868 [2 per cell]
10 O 0.333 0.027 0.788 [2 per cell]
11 O 0.341 0.702 0.237 [2 per cell]
12 O 0.372 0.089 0.393 [2 per cell]
13 O 0.376 0.550 0.634 [2 per cell]

=====

A relaxed structure of TaCoP2O. Source: Alexandria via LeMat-Bulk, functional GGA+U.

Calculated values
density of states at the Fermi level	0.545	states/eV/atom
total DFT energy (no corrections)	-6.69	eV per atom

Unit cell a=4.934 b=4.934 c=3.833 alpha=90.00 beta=90.00 gamma=90.00
Space group P4/mmm (No. 123)
Unique sites:
1 Ta 0.000 0.000 0.000 [1 per cell]
2 Co 0.500 0.500 0.500 [1 per cell]
3 P 0.000 0.500 0.000 [2 per cell]
4 O 0.000 0.000 0.500 [1 per cell]

=====

A relaxed structure of TaCoPO2. Source: Alexandria via LeMat-Bulk, functional GGA+U.

Calculated values
density of states at the Fermi level	0.687	states/eV/atom
total DFT energy (no corrections)	-6.57	eV per atom

Unit cell a=3.674 b=3.674 c=4.403 alpha=90.00 beta=90.00 gamma=90.00
Space group P4/mmm (No. 123)
Unique sites:
1 Ta 0.000 0.000 0.000 [1 per cell]
2 Co 0.500 0.500 0.500 [1 per cell]
3 P 0.500 0.500 0.000 [1 per cell]
4 O 0.000 0.500 0.500 [2 per cell]

=====

A relaxed structure of TaCoP2O. Source: Alexandria via LeMat-Bulk, functional GGA+U.

Calculated values
density of states at the Fermi level	0.646	states/eV/atom
total DFT energy (no corrections)	-6.33	eV per atom

Unit cell a=4.576 b=4.576 c=3.373 alpha=90.00 beta=90.00 gamma=90.00
Space group P4/mmm (No. 123)
Unique sites:
1 Ta 0.000 0.000 0.000 [1 per cell]
2 Co 0.500 0.500 0.500 [1 per cell]
3 P 0.000 0.500 0.500 [2 per cell]
4 O 0.500 0.500 0.000 [1 per cell]